(1)
VASP calculation (GGA-PBE) on crystalline TiPbBrCl6 at its relaxed geometry.

Calculated values
- Formation energy (no corrections): -1090 meV per atom
- Electronic total energy: -3.796 eV/atom
- Total magnetization: 1.004 μB per formula unit
- Calculated density: 2.71 g/cm³

Cell lengths 6.9852, 6.9852, 7.9491 Å; angles 90.06, 90.06, 120.04 degrees
Sites, in units of the cell vectors:
Ti: 0.0000 0.0000 0.0000
Pb: 0.6666 0.3334 0.0000
Br: 0.3334 0.6666 0.5000
Cl: 0.2772 0.2719 0.8254
Cl: 0.2777 0.0056 0.1747
Cl: 0.7276 0.0050 0.8252
Cl: 0.7281 0.7228 0.1746
Cl: 0.9944 0.7223 0.8253
Cl: 0.9950 0.2724 0.1748

***

(2)
VASP calculation (GGA-PBE) on crystalline TlPb2BrCl4 at its relaxed geometry.

Calculated values
- Formation energy (no corrections): -1054 meV per atom
- Electronic total energy: -3.409 eV/atom
- Total magnetization: 0.000 μB per formula unit
- Calculated density: 5.16 g/cm³

Cell lengths 7.9971, 7.9971, 9.9128 Å; angles 120.01, 120.01, 29.90 degrees
Sites, in units of the cell vectors:
Tl: 0.0000 0.0000 0.0000
Pb: 0.1738 0.1738 0.7385
Pb: 0.8262 0.8262 0.2615
Br: 0.5000 0.5000 0.5000
Cl: 0.2173 0.2173 0.3078
Cl: 0.3615 0.3615 0.0617
Cl: 0.6385 0.6385 0.9383
Cl: 0.7827 0.7827 0.6922